[1]
A relaxed structure of Ni2SbOs, computed with PBE.

Calculated values
symmetry: R-3m, No. 166
formation energy (no corrections): 0.43 eV/atom

Cell: 8.3470 8.3470 8.3470 Å, 19.93 19.93 19.93°
Closest atoms and distances in Å follow each position.
Fractional coordinates of all 4 atoms:
Ni1 0.2477 0.2477 0.2477  3 Os 2.59, 3 Sb 2.68, 6 Ni 2.89
Ni2 0.7523 0.7523 0.7523  3 Os 2.59, 3 Sb 2.68, 6 Ni 2.89
Sb1 0.0000 0.0000 0.0000  6 Ni 2.68, 6 Sb 2.89
Os1 0.5000 0.5000 0.5000  6 Ni 2.59, 6 Os 2.89

[2]
A relaxed structure of RbZnGa2Tc, computed with PBE.

Calculated values
symmetry: P4/mmm, No. 123
calculated formation energy: 0.039 eV per atom

Cell: 4.9234 4.9234 5.0745 Å, 90.00 90.00 90.00°
Closest atoms and distances in Å follow each position.
Fractional coordinates of all 5 atoms:
Rb1 0.0000 0.0000 0.0000  4 Zn 3.48, 8 Ga 3.54
Zn1 0.5000 0.5000 0.0000  2 Tc 2.54
Ga1 0.0000 0.5000 0.5000  2 Tc 2.46
Ga2 0.5000 0.0000 0.5000  2 Tc 2.46
Tc1 0.5000 0.5000 0.5000  4 Ga 2.46, 2 Zn 2.54

DFT total energy (computed, eV per cell): -25.2, -18.5